Computed, not measured: a relaxed structure of Sr2Co2O5 at the PBE+U level of DFT.

Properties
Its energy above the most stable polymorph in this dataset is 1003.9 meV/atom. The calculation puts the total magnetic moment at 5.0 μB per formula unit. The density is 4.24 g/cm3. For the energy, the calculation gives -5.08 eV/atom. Its space group is P4/mmm.

Geometry as extended XYZ:
```
9
Lattice="4.079 0.000 0.000 0.000 4.079 0.000 0.000 0.000 8.777" Properties=species:S:1:pos:R:3 pbc="T T T"
Sr 0.000 0.000 2.118
Sr 0.000 0.000 6.659
Co 2.040 2.040 0.000
Co 2.040 2.040 4.389
O 0.000 0.000 4.389
O 0.000 2.040 0.776
O 0.000 2.040 8.001
O 2.040 0.000 0.776
O 2.040 0.000 8.001
```